# Gd5CoSb2 | OQMD via LeMat-Bulk | PBE-GGA | optimized geometry
data_Gd5CoSb2
_chemical_formula_sum 'Gd20 Co4 Sb8'
_symmetry_space_group_name_H-M 'P n m a'
_symmetry_Int_Tables_number 62
_symmetry_space_group_name_Hall '-P 2ac 2n'
_cell_length_a 12.2769
_cell_length_b 8.8371
_cell_length_c 7.9562
_cell_angle_alpha 90.00
_cell_angle_beta 90.00
_cell_angle_gamma 90.00
loop_
_atom_site_label
_atom_site_type_symbol
_atom_site_fract_x
_atom_site_fract_y
_atom_site_fract_z
_atom_site_occupancy
Gd1 Gd 0.0022 0.2500 0.0442 1
Gd2 Gd 0.0646 0.5360 0.3204 1
Gd3 Gd 0.1945 0.2500 0.6220 1
Gd4 Gd 0.2028 0.7500 0.6531 1
Co1 Co 0.0106 0.2500 0.4318 1
Sb1 Sb 0.1735 0.0081 0.9267 1
# crystal system	orthorhombic
# calculated total energy	-5.541	eV/atom

=====

# GdTlCoSe3 | OQMD via LeMat-Bulk | PBE-GGA | optimized geometry
data_GdTlCoSe3
_chemical_formula_sum 'Gd4 Tl4 Co4 Se12'
_symmetry_space_group_name_H-M 'C m c m'
_symmetry_Int_Tables_number 63
_symmetry_space_group_name_Hall '-C 2c 2'
_cell_length_a 4.0597
_cell_length_b 14.8640
_cell_length_c 10.8501
_cell_angle_alpha 90.00
_cell_angle_beta 90.00
_cell_angle_gamma 90.00
loop_
_atom_site_label
_atom_site_type_symbol
_atom_site_fract_x
_atom_site_fract_y
_atom_site_fract_z
_atom_site_occupancy
Gd1 Gd 0.0000 0.0000 0.0000 1
Tl1 Tl 0.0000 0.2485 0.2500 1
Co1 Co 0.0000 0.4709 0.7500 1
Se1 Se 0.0000 0.0663 0.7500 1
Se2 Se 0.0000 0.3739 0.5741 1
# crystal system	orthorhombic
# calculated total energy	-4.995	eV/atom

=====

# GdTlCoSe3 | OQMD via LeMat-Bulk | PBE-GGA | optimized geometry
data_GdTlCoSe3
_chemical_formula_sum 'Gd4 Tl4 Co4 Se12'
_symmetry_space_group_name_H-M 'P n m a'
_symmetry_Int_Tables_number 62
_symmetry_space_group_name_Hall '-P 2ac 2n'
_cell_length_a 10.9049
_cell_length_b 4.0784
_cell_length_c 14.7375
_cell_angle_alpha 90.00
_cell_angle_beta 90.00
_cell_angle_gamma 90.00
loop_
_atom_site_label
_atom_site_type_symbol
_atom_site_fract_x
_atom_site_fract_y
_atom_site_fract_z
_atom_site_occupancy
Gd1 Gd 0.0119 0.2500 0.2437 1
Tl1 Tl 0.2270 0.7500 0.4986 1
Co1 Co 0.2392 0.2500 0.7176 1
Se1 Se 0.0569 0.2500 0.6268 1
Se2 Se 0.0874 0.7500 0.1179 1
Se3 Se 0.2410 0.7500 0.8132 1
# crystal system	orthorhombic
# calculated total energy	-4.995	eV/atom

=====

# GdCoSi3 | OQMD via LeMat-Bulk | PBE-GGA | optimized geometry
data_GdCoSi3
_chemical_formula_sum 'Gd2 Co2 Si6'
_symmetry_space_group_name_H-M 'I 4 m m'
_symmetry_Int_Tables_number 107
_symmetry_space_group_name_Hall 'I 4 -2'
_cell_length_a 4.0698
_cell_length_b 4.0698
_cell_length_c 9.5295
_cell_angle_alpha 90.00
_cell_angle_beta 90.00
_cell_angle_gamma 90.00
loop_
_atom_site_label
_atom_site_type_symbol
_atom_site_fract_x
_atom_site_fract_y
_atom_site_fract_z
_atom_site_occupancy
Gd1 Gd 0.0000 0.0000 0.0000 1
Co1 Co 0.0000 0.0000 0.6566 1
Si1 Si 0.0000 0.0000 0.4234 1
Si2 Si 0.0000 0.5000 0.2576 1
# crystal system	tetragonal
# calculated total energy	-6.282	eV/atom

=====

# Gd3CoSi3 | OQMD via LeMat-Bulk | PBE-GGA | optimized geometry
data_Gd3CoSi3
_chemical_formula_sum 'Gd12 Co4 Si12'
_symmetry_space_group_name_H-M 'C 1 2/m 1'
_symmetry_Int_Tables_number 12
_symmetry_space_group_name_Hall '-C 2y'
_cell_length_a 10.6026
_cell_length_b 4.1985
_cell_length_c 13.5700
_cell_angle_alpha 90.00
_cell_angle_beta 111.24
_cell_angle_gamma 90.00
loop_
_atom_site_label
_atom_site_type_symbol
_atom_site_fract_x
_atom_site_fract_y
_atom_site_fract_z
_atom_site_occupancy
Gd1 Gd 0.0246 0.0000 0.3794 1
Gd2 Gd 0.1009 0.0000 0.9195 1
Gd3 Gd 0.2477 0.0000 0.2292 1
Co1 Co 0.2467 0.5000 0.4188 1
Si1 Si 0.0553 0.5000 0.2417 1
Si2 Si 0.1126 0.5000 0.0760 1
Si3 Si 0.1427 0.5000 0.5438 1
# crystal system	monoclinic
# calculated total energy	-6.099	eV/atom

=====

# GdCoSi3 | OQMD via LeMat-Bulk | PBE-GGA | optimized geometry
data_GdCoSi3
_chemical_formula_sum 'Gd2 Co2 Si6'
_symmetry_space_group_name_H-M 'I 4 m m'
_symmetry_Int_Tables_number 107
_symmetry_space_group_name_Hall 'I 4 -2'
_cell_length_a 3.6528
_cell_length_b 3.6528
_cell_length_c 13.6783
_cell_angle_alpha 90.00
_cell_angle_beta 90.00
_cell_angle_gamma 90.00
loop_
_atom_site_label
_atom_site_type_symbol
_atom_site_fract_x
_atom_site_fract_y
_atom_site_fract_z
_atom_site_occupancy
Gd1 Gd 0.0000 0.0000 0.0000 1
Co1 Co 0.0000 0.0000 0.2708 1
Si1 Si 0.0000 0.0000 0.7998 1
Si2 Si 0.0000 0.5000 0.1662 1
# crystal system	tetragonal
# calculated total energy	-5.680	eV/atom

=====

# GdCo2Si2 | OQMD via LeMat-Bulk | PBE-GGA | optimized geometry
data_GdCo2Si2
_chemical_formula_sum 'Gd2 Co4 Si4'
_symmetry_space_group_name_H-M 'I 4/m m m'
_symmetry_Int_Tables_number 139
_symmetry_space_group_name_Hall '-I 4 2'
_cell_length_a 3.8847
_cell_length_b 3.8847
_cell_length_c 9.7834
_cell_angle_alpha 90.00
_cell_angle_beta 90.00
_cell_angle_gamma 90.00
loop_
_atom_site_label
_atom_site_type_symbol
_atom_site_fract_x
_atom_site_fract_y
_atom_site_fract_z
_atom_site_occupancy
Gd1 Gd 0.0000 0.0000 0.0000 1
Co1 Co 0.0000 0.5000 0.2500 1
Si1 Si 0.0000 0.0000 0.3710 1
# crystal system	tetragonal
# calculated total energy	-6.759	eV/atom

=====

# GdCoSi3 | OQMD via LeMat-Bulk | PBE-GGA | optimized geometry
data_GdCoSi3
_chemical_formula_sum 'Gd4 Co4 Si12'
_symmetry_space_group_name_H-M 'C m m m'
_symmetry_Int_Tables_number 65
_symmetry_space_group_name_Hall '-C 2 2'
_cell_length_a 3.9426
_cell_length_b 21.0690
_cell_length_c 3.9895
_cell_angle_alpha 90.00
_cell_angle_beta 90.00
_cell_angle_gamma 90.00
loop_
_atom_site_label
_atom_site_type_symbol
_atom_site_fract_x
_atom_site_fract_y
_atom_site_fract_z
_atom_site_occupancy
Gd1 Gd 0.0000 0.1688 0.0000 1
Co1 Co 0.0000 0.3916 0.5000 1
Si1 Si 0.0000 0.0561 0.5000 1
Si2 Si 0.0000 0.2844 0.5000 1
Si3 Si 0.0000 0.4439 0.0000 1
# crystal system	orthorhombic
# calculated total energy	-6.256	eV/atom

=====

# Gd3Co4Si4 | OQMD via LeMat-Bulk | PBE-GGA | optimized geometry
data_Gd3Co4Si4
_chemical_formula_sum 'Gd6 Co8 Si8'
_symmetry_space_group_name_H-M 'I m m m'
_symmetry_Int_Tables_number 71
_symmetry_space_group_name_Hall '-I 2 2'
_cell_length_a 3.9250
_cell_length_b 3.9519
_cell_length_c 23.4526
_cell_angle_alpha 90.00
_cell_angle_beta 90.00
_cell_angle_gamma 90.00
loop_
_atom_site_label
_atom_site_type_symbol
_atom_site_fract_x
_atom_site_fract_y
_atom_site_fract_z
_atom_site_occupancy
Gd1 Gd 0.0000 0.0000 0.0000 1
Gd2 Gd 0.0000 0.5000 0.1471 1
Co1 Co 0.0000 0.0000 0.2497 1
Co2 Co 0.0000 0.5000 0.4001 1
Si1 Si 0.0000 0.0000 0.4491 1
Si2 Si 0.0000 0.5000 0.3011 1
# crystal system	orthorhombic
# calculated total energy	-6.541	eV/atom

=====

# GdCoSi3 | OQMD via LeMat-Bulk | PBE-GGA | optimized geometry
data_GdCoSi3
_chemical_formula_sum 'Gd2 Co2 Si6'
_symmetry_space_group_name_H-M 'P 1 m 1'
_symmetry_Int_Tables_number 6
_symmetry_space_group_name_Hall 'P -2y'
_cell_length_a 3.9451
_cell_length_b 3.9744
_cell_length_c 10.7078
_cell_angle_alpha 90.00
_cell_angle_beta 100.60
_cell_angle_gamma 90.00
loop_
_atom_site_label
_atom_site_type_symbol
_atom_site_fract_x
_atom_site_fract_y
_atom_site_fract_z
_atom_site_occupancy
Gd1 Gd 0.0000 0.0000 0.0000 1
Gd2 Gd 0.3379 0.0000 0.6749 1
Co1 Co 0.5592 0.5000 0.1200 1
Co2 Co 0.7761 0.5000 0.5551 1
Si1 Si 0.1117 0.5000 0.2249 1
Si2 Si 0.2240 0.5000 0.4502 1
Si3 Si 0.4531 0.5000 0.9059 1
Si4 Si 0.6129 0.0000 0.2251 1
Si5 Si 0.7273 0.0000 0.4500 1
Si6 Si 0.8847 0.5000 0.7692 1
# crystal system	monoclinic
# calculated total energy	-6.255	eV/atom

=====

# SmGdCo2Si4 | OQMD via LeMat-Bulk | PBE-GGA | optimized geometry
data_SmGdCo2Si4
_chemical_formula_sum 'Sm2 Gd2 Co4 Si8'
_symmetry_space_group_name_H-M 'A m m 2'
_symmetry_Int_Tables_number 38
_symmetry_space_group_name_Hall 'A 2 -2'
_cell_length_a 4.0073
_cell_length_b 4.0858
_cell_length_c 16.2645
_cell_angle_alpha 90.00
_cell_angle_beta 90.00
_cell_angle_gamma 90.00
loop_
_atom_site_label
_atom_site_type_symbol
_atom_site_fract_x
_atom_site_fract_y
_atom_site_fract_z
_atom_site_occupancy
Sm1 Sm 0.0000 0.0000 0.0000 1
Gd1 Gd 0.5000 0.0000 0.7850 1
Co1 Co 0.0000 0.0000 0.2128 1
Co2 Co 0.5000 0.0000 0.5738 1
Si1 Si 0.0000 0.0000 0.3488 1
Si2 Si 0.0000 0.0000 0.6445 1
Si3 Si 0.5000 0.0000 0.1440 1
Si4 Si 0.5000 0.0000 0.4355 1
# crystal system	orthorhombic
# calculated total energy	-6.439	eV/atom

=====

# SrGdCo2Si2 | OQMD via LeMat-Bulk | PBE-GGA | optimized geometry
data_SrGdCo2Si2
_chemical_formula_sum 'Sr1 Gd1 Co2 Si2'
_symmetry_space_group_name_H-M 'P 4 m m'
_symmetry_Int_Tables_number 99
_symmetry_space_group_name_Hall 'P 4 -2'
_cell_length_a 3.9676
_cell_length_b 3.9676
_cell_length_c 7.2391
_cell_angle_alpha 90.00
_cell_angle_beta 90.00
_cell_angle_gamma 90.00
loop_
_atom_site_label
_atom_site_type_symbol
_atom_site_fract_x
_atom_site_fract_y
_atom_site_fract_z
_atom_site_occupancy
Sr1 Sr 0.0000 0.0000 0.0000 1
Gd1 Gd 0.5000 0.5000 0.6390 1
Co1 Co 0.0000 0.5000 0.3450 1
Si1 Si 0.0000 0.0000 0.5089 1
Si2 Si 0.5000 0.5000 0.1767 1
# crystal system	tetragonal
# calculated total energy	-5.781	eV/atom